# 1
Compound: CeAlCo4
Source: Alexandria via LeMat-Bulk
Functional: PBE
Structure: relaxed

abc: 4.8938 4.8938 4.0716
angles: 90.00 90.00 118.57
Closest atoms and distances in Å follow each position.
Positions (direct):
Ce: 0.0000 0.0000 0.0000  2 Co 2.59
Al: 0.5000 0.5000 0.5000  8 Co 2.45-2.60
Co: 0.0000 0.5000 0.5000  6 Co 2.44-2.50, 2 Al 2.45
Co: 0.3082 0.6918 0.0000  6 Co 2.44-2.68, 1 Ce 2.59, 2 Al 2.60
Co: 0.5000 0.0000 0.5000  6 Co 2.44-2.50, 2 Al 2.45
Co: 0.6918 0.3082 0.0000  6 Co 2.44-2.68, 1 Ce 2.59, 2 Al 2.60

Summary:
The energy above the lowest structure with this stoichiometry comes out at 0.000 eV per atom. Its total magnetization is 2.92 μB per formula unit. The energy of formation from the pure elements is -267 meV per atom. As for the space-group type: Cmmm. As for the volume: 14.27 A^3/atom.

=====

# 2
Compound: CeAlCo
Source: Alexandria via LeMat-Bulk
Functional: PBE
Structure: relaxed

abc: 4.4073 4.4073 4.4073
angles: 60.00 60.00 60.00
Closest atoms and distances in Å follow each position.
Positions (direct):
Ce: 0.0000 0.0000 0.0000  4 Co 2.70
Al: 0.5000 0.5000 0.5000  4 Co 2.70
Co: 0.7500 0.7500 0.7500  4 Ce 2.70, 4 Al 2.70

Summary:
Its total magnetization is 0.00 μB per formula unit. The energy of formation from the pure elements is -236 meV per atom. As for the space-group type: F-43m. As for the volume: 20.18 A^3/atom.

=====

Number 1: DOS(E_F) 1.56 states/eV/atom. Number 2: DOS(E_F) 1.82 states/eV/atom.